## V2NiHO6 (PBE+U)

Data for a relaxed structure of V2NiHO6.

a = 5.594 Å, b = 8.239 Å, c = 8.239 Å
α = 71.46°, β = 61.48°, γ = 61.48°
Fractional coordinates of all 20 atoms:
V  0.312  0.796  0.574
V  0.188  0.426  0.204
V  0.688  0.204  0.426
V  0.812  0.574  0.796
Ni  0.250  0.799  0.201
Ni  0.750  0.201  0.799
H  0.250  0.258  0.742
H  0.750  0.742  0.258
O  0.101  0.005  0.660
O  0.399  0.340  0.995
O  0.899  0.995  0.340
O  0.601  0.660  0.005
O  0.481  0.801  0.322
O  0.019  0.678  0.199
O  0.519  0.199  0.678
O  0.981  0.322  0.801
O  0.114  0.648  0.670
O  0.386  0.330  0.352
O  0.886  0.352  0.330
O  0.614  0.670  0.648

space group	C2/c (15)
energy	-131.097	eV per cell
calculated volume	291.2	Å³ per cell